# Gd2PuTe

An optimized crystal structure of Gd2PuTe (PBE, Alexandria via LeMat-Bulk).

a b c (Å): 4.542 4.857 4.857
angles (deg): 90.00 90.00 90.00
Last column: magnetic moment on the atom in μB.
Sites, in units of the cell vectors:
Te  0.500  0.000  0.000  0.00
Pu  0.500  0.500  0.500  5.54
Gd  0.000  0.000  0.500  -6.89
Gd  0.000  0.500  0.000  -6.89

Values from the calculation:
As for the energy above the lowest structure with this stoichiometry: 0.060 eV per atom. The density of states at the Fermi level is 11.0 states/eV/cell. The space group is P4/mmm, No. 123. For the total energy, the calculation gives -47.36 eV for the cell shown.